Record 1
## TbBeCu11 (PBE)

Data for TbBeCu11 after structural relaxation.

Computed properties:
Its density of states at the Fermi level is 5.39 states/eV/f.u. Its formation energy is -0.10 eV/atom. The total energy comes out at -54.71 eV per formula unit. Its space group is C2/m.

Unit cell a=4.7633 b=6.4064 c=6.3722 alpha=82.57 beta=68.05 gamma=69.77
Positions (direct):
1 Cu 0.6505 0.3560 0.3518
2 Cu 0.3495 0.6440 0.6482
3 Cu 0.5000 0.0000 0.5000
4 Cu 0.4925 0.7698 0.2183
5 Cu 0.0000 0.5000 0.0000
6 Cu 0.0000 0.0000 0.5000
7 Cu 0.5075 0.2302 0.7817
8 Cu 0.2892 0.2302 0.2183
9 Cu 0.0024 0.3560 0.6482
10 Cu 0.9976 0.6440 0.3518
11 Cu 0.7108 0.7698 0.7817
12 Tb 0.0000 0.0000 0.0000
13 Be 0.5000 0.5000 0.0000

---

Record 2
## Ce2HoCr2N6 (PBE)

Data for Ce2HoCr2N6 after structural relaxation.

Computed properties:
Its formation energy from raw total energies is -83.5 kJ per mole of atoms. Its density of states at the Fermi level is 9.18 states/eV/f.u. The total energy comes out at -95.16 eV per formula unit. Its space group is R-3m.

Unit cell a=5.5118 b=5.5118 c=6.7969 alpha=66.08 beta=66.08 gamma=60.00
Site moments in Bohr magnetons follow the coordinates.
Positions (direct):
1 Ce 0.2061 0.2061 0.3817  0.62
2 Ce 0.7939 0.7939 0.6183  0.62
3 N 0.2322 0.7370 0.2937  -0.02
4 N 0.7370 0.7370 0.2937  -0.02
5 N 0.7370 0.2322 0.2937  -0.02
6 N 0.2630 0.7678 0.7063  -0.02
7 N 0.2630 0.2630 0.7063  -0.02
8 N 0.7678 0.2630 0.7063  -0.02
9 Cr 0.4007 0.4007 0.7980  0.04
10 Cr 0.5993 0.5993 0.2020  0.04
11 Ho 0.0000 0.0000 0.0000  0.01

---

Record 3
## ZrNbS2N (PBE)

Data for ZrNbS2N after structural relaxation.

Computed properties:
Its formation energy from raw total energies is -30.7 kJ per mole of atoms. Its density of states at the Fermi level is 3.29 states/eV/f.u. The total energy comes out at -36.79 eV per formula unit. For the energy above the most stable polymorph in this dataset, the calculation gives 0 meV per atom. Its space group is P4/mmm.

Unit cell a=4.8571 b=4.8571 c=3.8818 alpha=90.00 beta=90.00 gamma=90.00
Site moments in Bohr magnetons follow the coordinates.
Positions (direct):
1 S 0.5000 0.0000 0.0000  -0.01
2 S 0.0000 0.5000 0.0000  -0.01
3 Zr 0.5000 0.5000 0.5000  0.36
4 N 0.0000 0.0000 0.5000  0.00
5 Nb 0.0000 0.0000 0.0000  -0.02

---

Record 4
## Tm6HgSe4 (PBE)

Data for Tm6HgSe4 after structural relaxation.

Computed properties:
Its formation energy from raw total energies is -127.3 kJ per mole of atoms. Its density of states at the Fermi level is 6.81 states/eV/f.u. The total energy comes out at -55.58 eV per formula unit. Its space group is Cmcm.

Unit cell a=3.9921 b=6.8836 c=20.4858 alpha=90.00 beta=90.00 gamma=106.86
Positions (direct):
1 Se 0.4130 0.8261 0.1229
2 Se 0.1409 0.2818 0.4624
3 Se 0.5870 0.1739 0.6229
4 Se 0.4130 0.8261 0.3771
5 Se 0.8591 0.7182 0.5376
6 Se 0.8591 0.7182 0.9624
7 Se 0.5870 0.1739 0.8771
8 Se 0.1409 0.2818 0.0377
9 Tm 0.0508 0.1016 0.1652
10 Tm 0.0508 0.1016 0.3348
11 Tm 0.2305 0.4611 0.9067
12 Tm 0.9492 0.8984 0.6652
13 Tm 0.9492 0.8984 0.8348
14 Tm 0.2305 0.4611 0.5933
15 Tm 0.6594 0.3187 0.7500
16 Tm 0.7695 0.5389 0.4067
17 Tm 0.5000 0.0000 0.5000
18 Tm 0.7695 0.5389 0.0933
19 Tm 0.3406 0.6813 0.2500
20 Tm 0.5000 0.0000 0.0000
21 Hg 0.6676 0.3353 0.2500
22 Hg 0.3324 0.6647 0.7500

---

Record 5
## ScMn2Hg (PBE)

Data for ScMn2Hg after structural relaxation.

Computed properties:
Its density of states at the Fermi level is 5.62 states/eV/f.u. Its formation energy is 0.14 eV/atom. The total energy comes out at -24.42 eV per formula unit. Its space group is I4/mmm.

Unit cell a=5.0407 b=5.0407 c=5.0407 alpha=132.05 beta=132.04 gamma=70.16
Site moments in Bohr magnetons follow the coordinates.
Positions (direct):
1 Mn 0.0000 0.0000 0.0000  3.19
2 Mn 0.5000 0.5000 0.0000  3.19
3 Sc 0.2500 0.7500 0.5000  -0.33
4 Hg 0.7500 0.2500 0.5000  -0.08

---

Record 6
## SiHgSb2As (PBE)

Data for SiHgSb2As after structural relaxation.

Computed properties:
Its formation energy from raw total energies is 61.3 kJ per mole of atoms. Its density of states at the Fermi level is 4.98 states/eV/f.u. The total energy comes out at -15.44 eV per formula unit. Its space group is P4/mmm.

Unit cell a=5.2775 b=5.2775 c=4.9317 alpha=90.00 beta=90.00 gamma=90.00
Positions (direct):
1 Sb 0.5000 0.0000 0.0000
2 Sb 0.0000 0.5000 0.0000
3 Si 0.0000 0.0000 0.0000
4 Hg 0.0000 0.0000 0.5000
5 As 0.5000 0.5000 0.5000

---

Please write out number 2 again, unchanged.
## Ce2HoCr2N6 (PBE)

Data for Ce2HoCr2N6 after structural relaxation.

Computed properties:
Its formation energy from raw total energies is -83.5 kJ per mole of atoms. Its density of states at the Fermi level is 9.18 states/eV/f.u. The total energy comes out at -95.16 eV per formula unit. Its space group is R-3m.

Unit cell a=5.5118 b=5.5118 c=6.7969 alpha=66.08 beta=66.08 gamma=60.00
Site moments in Bohr magnetons follow the coordinates.
Positions (direct):
1 Ce 0.2061 0.2061 0.3817  0.62
2 Ce 0.7939 0.7939 0.6183  0.62
3 N 0.2322 0.7370 0.2937  -0.02
4 N 0.7370 0.7370 0.2937  -0.02
5 N 0.7370 0.2322 0.2937  -0.02
6 N 0.2630 0.7678 0.7063  -0.02
7 N 0.2630 0.2630 0.7063  -0.02
8 N 0.7678 0.2630 0.7063  -0.02
9 Cr 0.4007 0.4007 0.7980  0.04
10 Cr 0.5993 0.5993 0.2020  0.04
11 Ho 0.0000 0.0000 0.0000  0.01